1.
The following is a GGA-PBE calculation of a relaxed structure of Ag3ClF2, from Alexandria.

Cell lengths 6.5894, 11.2064, 6.1189 Å; angles 90.00, 110.43, 90.00 degrees
Last column: nearest neighbours and their distance in Å.
Space group Cm (No. 8)
One atom of each set of equivalent atoms:
1 Ag 0.0000 0.0000 0.0000  4 F 2.49-2.64, 2 Cl 2.73
2 Ag 0.0195 0.1576 0.5219  4 F 2.43-2.68, 1 Cl 2.67
3 Ag 0.0203 0.3455 0.9682  4 F 2.45-2.66, 1 Cl 2.72
4 Ag 0.0501 0.5000 0.5135  3 F 2.47-2.53, 2 Cl 2.71
5 Cl 0.2817 0.1698 0.2508  6 Ag 2.67-2.79
6 F 0.2518 0.0000 0.7462  5 Ag 2.43-2.64
7 F 0.2695 0.5000 0.2469  6 Ag 2.49-2.59
8 F 0.2717 0.3374 0.7543  6 Ag 2.45-2.68

Summary:
Energy relative to the lowest polymorph listed for this composition = 0.006 eV per atom
Uncorrected formation energy = -0.785 eV/atom



2.
The following is a GGA-PBE calculation of a relaxed structure of TbDyEr2Se6, from Alexandria.

Cell lengths 7.1802, 7.1802, 19.3977 Å; angles 90.00, 90.00, 120.00 degrees
Last column: nearest neighbours and their distance in Å.
Space group R3 (No. 146, hexagonal axes)
One atom of each set of equivalent atoms:
1 Tb 0.0000 0.0000 0.0000  6 Se 2.85-2.92
2 Dy 0.0000 0.0000 0.4996  6 Se 2.85-2.91
3 Er 0.0000 0.0000 0.3040  6 Se 2.82-2.88
4 Er 0.0000 0.0000 0.8043  6 Se 2.82-2.88
5 Se 0.0053 0.6969 0.9005  2 Er 2.82-2.88, 1 Dy 2.85, 1 Tb 2.92
6 Se 0.0066 0.3079 0.4007  2 Er 2.82-2.88, 1 Tb 2.85, 1 Dy 2.91

Summary:
Uncorrected formation energy = -1.850 eV/atom



3.
The following is a GGA-PBE calculation of a relaxed structure of Er5Mg2Ni2, from Alexandria.

Cell lengths 17.1233, 7.3396, 7.1395 Å; angles 90.00, 90.00, 90.00 degrees
Last column: nearest neighbours and their distance in Å.
Space group Cmce (No. 64)
One atom of each set of equivalent atoms:
1 Er 0.0000 0.0000 0.0000  4 Ni 2.86-2.89
2 Er 0.1110 0.1817 0.3247  3 Ni 2.79-2.97
3 Mg 0.2286 0.0000 0.0000  6 Er 3.30-3.35, 2 Mg 3.64
4 Ni 0.0000 0.1240 0.6197  1 Ni 2.50, 2 Er 2.79

Summary:
Energy of formation = -0.191 eV per atom



4.
The following is a GGA-PBE calculation of a relaxed structure of Sm2Y4N, from Alexandria.

Cell lengths 4.7996, 4.7996, 17.9537 Å; angles 90.00, 90.00, 90.00 degrees
Last column: nearest neighbours and their distance in Å.
Space group I4/mmm (No. 139)
One atom of each set of equivalent atoms:
1 Sm 0.0000 0.0000 0.1734  5 Y 3.48-3.50
2 Y 0.0000 0.0000 0.3686  1 N 2.36
3 Y 0.0000 0.5000 0.0000  2 N 2.40
4 N 0.0000 0.0000 0.5000  6 Y 2.36-2.40

Summary:
Uncorrected formation energy = -0.264 eV/atom



| no. | E_tot (eV per atom) |
| --- | --- |
| 1 | -3.142 |
| 2 | -5.776 |
| 3 | -4.365 |
| 4 | -6.495 |